Computed, not measured: an optimized crystal structure of MoAs2Se at the GGA-PBE level of DFT.

```
data_MoAs2Se
_symmetry_space_group_name_H-M 'C m m 2'
_symmetry_Int_Tables_number 35
_symmetry_space_group_name_Hall 'C 2 -2'
_cell_length_a 3.234
_cell_length_b 4.958
_cell_length_c 9.529
_cell_angle_alpha 90.00
_cell_angle_beta 90.00
_cell_angle_gamma 90.00
loop_
_atom_site_label
_atom_site_type_symbol
_atom_site_fract_x
_atom_site_fract_y
_atom_site_fract_z
_atom_site_occupancy
Mo1 Mo 0.000 0.000 0.000 1
As1 As 0.000 0.000 0.473 1
As2 As 0.000 0.500 0.219 1
Se1 Se 0.000 0.500 0.794 1
```

Values from the calculation:
Electronic total energy = -5.5427 eV/atom
Total magnetization = 0.0000 μB per atom